(1)
DFT (PBE) results for an optimized crystal structure of ZnIrW2.

abc: 2.7787 2.7787 7.9230
angles: 90.00 90.00 90.00
Last column: nearest neighbours and their distance in Å.
Space group P4mm (No. 99)
Unique sites:
Zn (0.0000, 0.0000, 0.0000) (multiplicity 1)  4 Ir 2.72, 4 Zn 2.78, 4 W 2.82
Ir (0.5000, 0.5000, 0.2366) (multiplicity 1)  4 W 2.68, 4 Zn 2.72, 4 Ir 2.78
W (0.0000, 0.0000, 0.4666) (multiplicity 1)  4 Ir 2.68, 8 W 2.78-2.96
W (0.5000, 0.5000, 0.7454) (multiplicity 1)  8 W 2.78-2.96, 4 Zn 2.82

Properties
The value obtained for the formation energy is -0.004 eV/atom. The calculation puts the density at 16.973 Mg/m³.


(2)
DFT (PBE) results for an optimized crystal structure of Tl3Zn2In9.

abc: 4.5859 12.3193 13.3119
angles: 90.00 90.00 90.00
Last column: nearest neighbours and their distance in Å.
Space group Immm (No. 71)
Unique sites:
Tl (0.0000, 0.0000, 0.0000) (multiplicity 2)  8 In 3.30
Tl (0.0000, 0.0000, 0.2965) (multiplicity 4)  2 Zn 3.41, 10 In 3.49-3.56
Zn (0.0000, 0.1679, 0.5000) (multiplicity 4)  8 In 3.03-3.09
In (0.0000, 0.2964, 0.1447) (multiplicity 8)  2 Zn 3.03, 4 In 3.08-3.16
In (0.0000, 0.3696, 0.3691) (multiplicity 8)  1 Zn 3.04, 4 In 3.08-3.21, 2 Tl 3.30
In (0.0000, 0.5000, 0.0000) (multiplicity 2)  4 Zn 3.09, 4 In 3.16

Properties
The value obtained for the formation energy is 0.057 eV/atom. The calculation puts the density at 7.849 Mg/m³.


> Among the records above, which one has the lowest density?

Tl3Zn2In9